First-principles (PBE) data for crystalline CsCuBiCl5 at its relaxed geometry, as listed in the Alexandria database.

Structure (POSCAR):
```
CsCuBiCl5
1.0
7.6704 0.0053 -0.0622
-2.2340 7.3378 -0.0622
-2.3307 -3.1482 9.5269
Bi Cl Cu Cs
2 10 2 2
Cartesian
-1.1654 -1.5741 4.7634
0.0000 0.0000 0.0000
4.2026 -0.4081 3.6979
-2.7825 2.3263 8.4614
2.2490 1.4107 0.7863
5.1998 -1.8210 7.0829
3.5783 3.2062 3.8527
5.8882 1.8686 0.9410
-2.0942 6.0159 2.3195
-1.0970 4.6031 5.7045
-0.4727 0.9887 5.5497
0.8566 2.7843 8.6161
-0.9397 2.7243 7.0829
4.0454 1.4706 2.3195
2.4738 0.1972 7.0829
0.6318 3.9978 2.3195
```

Output
E_form (uncorrected): -25.854 kcal/mol of atoms
Space-group type: C2/c, No. 15
Size of the total moment: 0.13 μB per formula unit


First-principles (PBE) data for crystalline CaNd2Ge at its relaxed geometry, as listed in the Alexandria database.

Structure (POSCAR):
```
CaNd2Ge
1.0
-1.1732 2.7200 -3.6933
-3.7543 -2.9700 -0.9947
-2.8883 2.6821 2.8929
Nd Ge Ca
2 1 1
Cartesian
-1.4442 1.3411 1.4464
-1.8771 -1.4850 -0.4974
-0.5866 1.3600 -1.8466
-3.9079 1.2161 -0.8976
```

Output
Space-group type: P4/mmm, No. 123
Size of the total moment: 0.00 μB per formula unit
ΔE to the lowest computed polymorph: 0.0 kJ per mole of atoms


First-principles (PBE) data for crystalline MgAlSn2 at its relaxed geometry, as listed in the Alexandria database.

Structure (POSCAR):
```
MgAlSn2
1.0
4.3060 0.0000 0.0000
0.0000 4.6520 0.0000
0.0000 0.0000 4.6520
Sn Mg Al
2 1 1
Cartesian
0.0000 2.3260 0.0000
0.0000 0.0000 2.3260
2.1530 0.0000 0.0000
2.1530 2.3260 2.3260
```

Output
Space-group type: P4/mmm, No. 123
Size of the total moment: 0.00 μB per formula unit
Electronic total energy: -13.21 eV/f.u.


First-principles (PBE) data for crystalline Sr12Hg3Cl5 at its relaxed geometry, as listed in the Alexandria database.

Structure (POSCAR):
```
Sr12Hg3Cl5
1.0
16.1339 0.0000 0.0000
-5.3780 15.2112 0.0000
-5.3780 -7.6056 13.1733
Cl Sr Hg
20 48 12
Cartesian
-2.6890 -3.8028 6.5866
6.7225 6.6549 4.9400
0.0000 0.0000 0.0000
4.0335 2.8521 1.6467
9.4114 -0.9507 8.2333
4.0335 11.4084 3.2933
5.3780 -3.8028 6.5866
8.0669 0.0000 0.0000
-1.3445 3.8028 3.2933
-1.3445 0.9507 8.2333
2.6890 3.8028 6.5866
1.3445 -3.8028 9.8799
6.7225 -4.7535 11.5266
-1.3445 12.3591 1.6467
5.3780 7.6056 0.0000
1.3445 4.7535 11.5266
-5.3780 3.8028 6.5866
-2.6890 7.6056 0.0000
6.7225 3.8028 9.8799
-4.0335 8.5563 4.9400
2.7247 -2.4788 7.7260
6.5685 -1.1198 7.8011
-3.3590 8.6315 10.2425
3.8796 6.4858 5.3722
10.7917 -3.4781 8.3029
-5.3422 5.9569 12.5963
6.8764 11.6981 3.6558
-2.0190 -0.7517 6.0097
8.1027 13.5624 0.5769
-6.5685 4.0925 9.5174
0.6700 9.3832 8.9405
3.3590 1.7776 4.2328
10.0859 0.7517 6.0097
2.1327 -2.0602 12.0339
11.3122 7.5622 2.3539
6.0480 6.5797 10.2425
-5.9342 0.0434 10.8194
1.4984 1.1198 7.8011
-5.4137 11.0836 4.8703
-2.7247 3.4781 8.3029
7.5107 7.6489 2.3539
7.3969 8.3573 7.1636
3.2453 5.5888 1.2145
8.7370 -1.0259 2.9308
4.7079 -1.7776 4.2328
9.5653 -5.2123 11.4570
-2.7247 -5.9569 12.5963
5.9343 2.0602 12.0339
5.9342 -2.0168 11.9588
-4.7079 6.8539 7.1636
0.0357 5.1268 5.4472
-2.1327 -0.0433 10.8194
2.1327 2.0168 11.9588
6.8764 2.3933 1.7163
-4.1874 12.8179 1.7163
2.0189 5.8280 8.9405
-1.4984 -4.0925 9.5174
3.2453 9.6658 1.1394
-1.4984 5.2123 11.4570
11.9465 3.5131 3.6558
5.3422 2.4788 7.7260
-0.6700 1.0259 2.9308
-1.1906 8.7254 5.3722
8.1027 4.1275 4.8703
-0.5563 9.6224 1.2145
-0.5563 5.5454 1.1394
10.7202 1.6487 0.5769
2.6532 10.0844 5.4472
-1.3445 6.6549 8.2333
-4.0335 -2.8521 11.5266
1.3445 7.6056 3.2933
9.4114 4.7535 1.6467
12.1004 0.0000 3.2933
9.4114 10.4577 1.6467
4.0335 8.5563 8.2333
6.7225 0.9507 4.9400
1.3445 -0.9507 4.9400
-6.7225 7.6056 9.8799
-4.0335 2.8521 11.5266
4.0335 0.0000 9.8799
```

Output
E_form (uncorrected): -21.632 kcal/mol of atoms
Space-group type: Ia-3d, No. 230
Size of the total moment: 0.00 μB per formula unit


First-principles (PBE) data for crystalline Ac8Si2Pt at its relaxed geometry, as listed in the Alexandria database.

Structure (POSCAR):
```
Ac8Si2Pt
1.0
-0.0668 2.5522 -3.5714
1.0143 -7.7788 -5.5780
-9.8734 -0.9629 2.1949
Ac Si Pt
8 2 1
Cartesian
-6.7217 0.1794 0.2540
-2.2042 -6.3688 -7.2084
-1.4638 -2.9398 -4.7718
-3.9528 -2.5074 -1.7179
-4.9731 -3.6820 -5.2365
-7.4621 -3.2496 -2.1827
0.1142 -1.6443 -1.1772
-9.0400 -4.5451 -5.7772
-6.0784 -0.3687 -2.8480
-2.8475 -5.8207 -4.1064
-0.0334 1.2761 -1.7857
```

Output
E_form (uncorrected): -8.766 kcal/mol of atoms
Space-group type: C2/m, No. 12
Size of the total moment: 0.00 μB per formula unit


First-principles (PBE) data for crystalline InGa2SiO at its relaxed geometry, as listed in the Alexandria database.

Structure (POSCAR):
```
InGa2SiO
1.0
-2.8450 1.3503 -4.2024
-0.1481 -3.2368 -0.9398
-4.4079 -0.6081 2.7888
Ga Si In O
2 1 1 1
Cartesian
-1.4225 0.6752 -2.1012
-2.2040 -0.3040 1.3944
0.0000 0.0000 0.0000
-3.7005 -1.2473 -1.1767
-0.0740 -1.6184 -0.4699
```

Output
E_form (uncorrected): -7.671 kcal/mol of atoms
Space-group type: P4/mmm, No. 123
Size of the total moment: 0.00 μB per formula unit


First-principles (PBE) data for crystalline Rb4La3TiTe8 at its relaxed geometry, as listed in the Alexandria database.

Structure (POSCAR):
```
Rb4La3TiTe8
1.0
9.2442 0.0000 0.0000
0.0000 10.0469 0.5558
-4.6221 -4.6164 6.5408
Te La Rb Ti
8 3 4 1
Cartesian
-2.4987 2.4770 6.7789
0.0000 4.9725 3.2442
2.4987 2.4770 6.7789
2.1234 2.9535 0.3177
7.1208 2.9535 0.3177
4.6221 0.4580 3.8524
0.0000 0.4766 3.6016
4.6221 4.9539 3.4950
-2.3110 2.7153 3.5483
4.6221 5.0235 0.2779
2.3110 2.7153 3.5483
4.6221 0.0000 0.0000
2.3110 -2.3082 3.2704
-2.3110 -2.3082 3.2704
0.0000 0.0000 0.0000
0.0000 5.0235 0.2779
```

Output
E_form (uncorrected): -29.494 kcal/mol of atoms
Space-group type: R-3m, No. 166
Size of the total moment: 1.00 μB per formula unit


First-principles (PBE) data for crystalline BaHNF2 at its relaxed geometry, as listed in the Alexandria database.

Structure (POSCAR):
```
BaHNF2
1.0
-3.4817 -0.4871 -2.8279
-2.6416 -1.1928 3.4578
-0.7849 3.0278 0.4449
N Ba H F
1 1 1 2
Cartesian
-0.3925 1.5139 0.2224
-3.4541 0.6739 0.5373
0.0000 0.0000 0.0000
-1.7409 -0.2435 -1.4140
-1.3208 -0.5964 1.7289
```

Output
Space-group type: P4/mmm, No. 123
Size of the total moment: 2.00 μB per formula unit
ΔE to the lowest computed polymorph: 0.0 kJ per mole of atoms